(1)
Sn2SbPd | PBE-GGA | relaxed

Cell and atoms, written as extended XYZ:
```
4
Lattice="-2.6662 -0.9398 1.8811 -0.5764 -2.5947 -2.1133 4.8210 -4.7168 4.4766" Properties=species:S:1:pos:R:3 pbc="T T T"
Sb 0.7892 -4.1257 2.1222
Pd -1.6213 -1.7673 -0.1161
Sn 0.9930 -0.9715 0.9220
Sn 3.8281 -3.7453 3.5545
```

Properties
total magnetization = 0.00 μB per cell
calculated volume = 93.3 Å³ per cell
symmetry = P4/mmm
energy = -4.479 eV/atom


(2)
SrSnSbPd2 | PBE-GGA | relaxed

Cell and atoms, written as extended XYZ:
```
5
Lattice="5.0629 0.0000 0.0000 0.0000 5.6695 0.0000 0.0000 0.0000 5.0629" Properties=species:S:1:pos:R:3 pbc="T T T"
Pd 2.5314 0.0000 0.0000
Pd 0.0000 0.0000 2.5314
Sr 2.5314 2.8348 2.5314
Sn 0.0000 2.8348 0.0000
Sb 0.0000 0.0000 0.0000
```

Properties
total magnetization = 0.00 μB per cell
calculated volume = 145.3 Å³ per cell
symmetry = P4/mmm
energy = -4.197 eV/atom


(3)
Sr2SnSbPd6 | PBE-GGA | relaxed

Cell and atoms, written as extended XYZ:
```
10
Lattice="-1.4941 5.9474 -2.9403 -3.4969 1.9298 5.6969 1.5845 5.8682 3.3055" Properties=species:S:1:pos:R:3 pbc="T T T"
Pd -0.3192 5.4344 1.5470
Pd -2.8785 6.3837 2.3199
Pd -2.3277 5.8384 -0.4439
Pd -0.5279 7.3618 3.7421
Pd -3.0872 8.3110 4.5150
Pd -1.0787 7.9070 6.5060
Sn 0.0000 0.0000 0.0000
Sr -2.4133 5.2504 5.2848
Sr -0.9931 8.4951 0.7772
Sb -2.4955 3.9386 1.3783
```

Properties
total magnetization = 0.00 μB per cell
calculated volume = 232.2 Å³ per cell
symmetry = P-1
energy = -4.820 eV/atom


(4)
Sr2Sn3SbPd4 | PBE-GGA | relaxed

Cell and atoms, written as extended XYZ:
```
10
Lattice="4.6926 0.0000 0.0000 0.0000 4.6926 0.0000 0.0000 0.0000 10.8735" Properties=species:S:1:pos:R:3 pbc="T T T"
Pd 2.3463 0.0000 6.8736
Pd 0.0000 2.3463 3.9999
Pd 2.3463 2.3463 0.0000
Pd 0.0000 0.0000 0.0000
Sr 0.0000 2.3463 8.2104
Sr 2.3463 0.0000 2.6631
Sn 0.0000 0.0000 5.4368
Sn 2.3463 0.0000 9.5630
Sn 0.0000 2.3463 1.3105
Sb 2.3463 2.3463 5.4368
```

Properties
total magnetization = 0.00 μB per cell
calculated volume = 239.4 Å³ per cell
symmetry = P-4m2
energy = -4.752 eV/atom


(5)
SnSbTe2Pd | PBE-GGA | relaxed

Cell and atoms, written as extended XYZ:
```
5
Lattice="5.4542 0.0000 0.0000 0.0000 5.4542 0.0000 0.0000 0.0000 5.0686" Properties=species:S:1:pos:R:3 pbc="T T T"
Sn 2.7271 2.7271 2.5343
Pd 0.0000 0.0000 0.0000
Te 2.7271 0.0000 0.0000
Te 0.0000 2.7271 0.0000
Sb 0.0000 0.0000 2.5343
```

Properties
energy above the most stable polymorph in this dataset = 0 meV/atom
total magnetization = 0.00 μB per cell
calculated volume = 150.8 Å³ per cell
symmetry = P4/mmm
energy = -3.721 eV/atom


(6)
SnSb2TePd | PBE-GGA | relaxed

Cell and atoms, written as extended XYZ:
```
5
Lattice="-4.6476 2.0983 0.9638 -1.3742 -0.7728 -4.9443 -1.9763 -4.9877 1.3288" Properties=species:S:1:pos:R:3 pbc="T T T"
Sb -2.3238 1.0492 0.4819
Sb -0.6871 -0.3864 -2.4722
Te -0.9881 -2.4939 0.6644
Sn -3.9991 -1.8311 -1.3258
Pd 0.0000 0.0000 0.0000
```

Properties
energy above the most stable polymorph in this dataset = 0 meV/atom
total magnetization = 0.00 μB per cell
calculated volume = 148.9 Å³ per cell
symmetry = P4/mmm
energy = -3.860 eV/atom